This record from the Alexandria database describes a relaxed Mn2PO4 crystal. The functional is GGA+U.

Summary:
magnetization	18.424	μB per cell
energy	-52.32	eV per formula unit

abc: 5.5769 5.5769 6.1835
angles: 90.00 90.00 90.00
Closest atoms and distances in Å follow each position.
Space group I-42m (No. 121)
Asymmetric unit:
Mn 0.0000 0.5000 0.2500  4 O 2.19
P 0.0000 0.0000 0.0000  4 O 1.56
O 0.1629 0.1629 0.8562  1 P 1.56